# CsHg2O4 PBE relaxed
data_CsHg2O4
_cell_length_a 7.471
_cell_length_b 7.471
_cell_length_c 7.471
_cell_angle_alpha 125.40
_cell_angle_beta 125.40
_cell_angle_gamma 80.87
_space_group_name_H-M_alt 'P 1'
_space_group_IT_number 1
_space_group_name_Hall 'P 1'
loop_
_atom_site_label
_atom_site_type_symbol
_atom_site_fract_x
_atom_site_fract_y
_atom_site_fract_z
Cs1 Cs 0.375 0.625 0.750
Cs2 Cs 0.625 0.375 0.250
Hg1 Hg 0.000 0.000 0.000
Hg2 Hg 0.000 0.000 0.500
Hg3 Hg 0.000 0.500 0.000
Hg4 Hg 0.500 0.000 0.500
O1 O 0.171 0.236 0.935
O2 O 0.199 0.764 0.435
O3 O 0.236 0.171 0.435
O4 O 0.236 0.801 0.065
O5 O 0.764 0.199 0.935
O6 O 0.764 0.829 0.565
O7 O 0.801 0.236 0.565
O8 O 0.829 0.764 0.065
# **Energy**: -22.50 eV per formula unit
# **Space group**: No. 141



# Cs2HgOsO6 PBE relaxed
data_Cs2HgOsO6
_cell_length_a 6.028
_cell_length_b 6.028
_cell_length_c 6.028
_cell_angle_alpha 60.00
_cell_angle_beta 60.00
_cell_angle_gamma 60.00
_space_group_name_H-M_alt 'P 1'
_space_group_IT_number 1
_space_group_name_Hall 'P 1'
loop_
_atom_site_label
_atom_site_type_symbol
_atom_site_fract_x
_atom_site_fract_y
_atom_site_fract_z
Cs1 Cs 0.250 0.250 0.250
Cs2 Cs 0.750 0.750 0.750
Hg1 Hg 0.000 0.000 0.000
Os1 Os 0.500 0.500 0.500
O1 O 0.280 0.280 0.720
O2 O 0.280 0.720 0.280
O3 O 0.280 0.720 0.720
O4 O 0.720 0.280 0.280
O5 O 0.720 0.280 0.720
O6 O 0.720 0.720 0.280
# **Magnetization**: 0.00 μB per formula unit
# **Energy**: -52.68 eV per formula unit
# **Space group**: No. 225



# CsHg3PdO4 PBE relaxed
data_CsHg3PdO4
_cell_length_a 5.769
_cell_length_b 5.769
_cell_length_c 5.769
_cell_angle_alpha 90.00
_cell_angle_beta 90.00
_cell_angle_gamma 90.00
_space_group_name_H-M_alt 'P 1'
_space_group_IT_number 1
_space_group_name_Hall 'P 1'
loop_
_atom_site_label
_atom_site_type_symbol
_atom_site_fract_x
_atom_site_fract_y
_atom_site_fract_z
Cs1 Cs 0.000 0.000 0.000
Hg1 Hg 0.000 0.500 0.500
Hg2 Hg 0.500 0.000 0.500
Hg3 Hg 0.500 0.500 0.000
Pd1 Pd 0.500 0.500 0.500
O1 O 0.278 0.278 0.278
O2 O 0.278 0.722 0.722
O3 O 0.722 0.278 0.722
O4 O 0.722 0.722 0.278
# **Energy**: -27.49 eV per formula unit
# **Space group**: No. 215



# CsPrHgO3 PBE relaxed
data_CsPrHgO3
_cell_length_a 7.617
_cell_length_b 7.617
_cell_length_c 9.361
_cell_angle_alpha 90.00
_cell_angle_beta 90.00
_cell_angle_gamma 150.69
_space_group_name_H-M_alt 'P 1'
_space_group_IT_number 1
_space_group_name_Hall 'P 1'
loop_
_atom_site_label
_atom_site_type_symbol
_atom_site_fract_x
_atom_site_fract_y
_atom_site_fract_z
Cs1 Cs 0.187 0.813 0.750
Cs2 Cs 0.813 0.187 0.250
Pr1 Pr 0.500 0.500 0.000
Pr2 Pr 0.500 0.500 0.500
Hg1 Hg 0.100 0.900 0.250
Hg2 Hg 0.900 0.100 0.750
O1 O 0.104 0.896 0.031
O2 O 0.104 0.896 0.469
O3 O 0.470 0.530 0.250
O4 O 0.530 0.470 0.750
O5 O 0.896 0.104 0.531
O6 O 0.896 0.104 0.969
# **Magnetization**: 0.00 μB per formula unit
# **Energy**: -31.54 eV per formula unit
# **Space group**: No. 63



# CsRbHgO2 PBE relaxed
data_CsRbHgO2
_cell_length_a 7.874
_cell_length_b 7.874
_cell_length_c 7.874
_cell_angle_alpha 148.79
_cell_angle_beta 148.79
_cell_angle_gamma 44.72
_space_group_name_H-M_alt 'P 1'
_space_group_IT_number 1
_space_group_name_Hall 'P 1'
loop_
_atom_site_label
_atom_site_type_symbol
_atom_site_fract_x
_atom_site_fract_y
_atom_site_fract_z
Cs1 Cs 0.000 0.000 0.000
Rb1 Rb 0.666 0.666 0.000
Hg1 Hg 0.333 0.333 0.000
O1 O 0.195 0.195 0.000
O2 O 0.470 0.470 0.000
# **Energy**: -17.07 eV per formula unit
# **Space group**: No. 107



# CsReHg3O4 PBE relaxed
data_CsReHg3O4
_cell_length_a 7.061
_cell_length_b 7.061
_cell_length_c 7.061
_cell_angle_alpha 90.00
_cell_angle_beta 90.00
_cell_angle_gamma 90.00
_space_group_name_H-M_alt 'P 1'
_space_group_IT_number 1
_space_group_name_Hall 'P 1'
loop_
_atom_site_label
_atom_site_type_symbol
_atom_site_fract_x
_atom_site_fract_y
_atom_site_fract_z
Cs1 Cs 0.000 0.000 0.000
Re1 Re 0.500 0.500 0.500
Hg1 Hg 0.000 0.500 0.500
Hg2 Hg 0.500 0.000 0.500
Hg3 Hg 0.500 0.500 0.000
O1 O 0.356 0.356 0.356
O2 O 0.356 0.644 0.644
O3 O 0.644 0.356 0.644
O4 O 0.644 0.644 0.356
# **Magnetization**: 0.00 μB per formula unit
# **Energy**: -42.72 eV per formula unit
# **Space group**: No. 215



# CsScHgO3 PBE relaxed
data_CsScHgO3
_cell_length_a 7.809
_cell_length_b 7.809
_cell_length_c 8.664
_cell_angle_alpha 90.00
_cell_angle_beta 90.00
_cell_angle_gamma 154.50
_space_group_name_H-M_alt 'P 1'
_space_group_IT_number 1
_space_group_name_Hall 'P 1'
loop_
_atom_site_label
_atom_site_type_symbol
_atom_site_fract_x
_atom_site_fract_y
_atom_site_fract_z
Cs1 Cs 0.185 0.815 0.750
Cs2 Cs 0.815 0.185 0.250
Sc1 Sc 0.500 0.500 0.000
Sc2 Sc 0.500 0.500 0.500
Hg1 Hg 0.101 0.899 0.250
Hg2 Hg 0.899 0.101 0.750
O1 O 0.091 0.909 0.015
O2 O 0.091 0.909 0.485
O3 O 0.479 0.521 0.250
O4 O 0.521 0.479 0.750
O5 O 0.909 0.091 0.515
O6 O 0.909 0.091 0.985
# **Magnetization**: 0.00 μB per formula unit
# **Energy**: -33.07 eV per formula unit
# **Space group**: No. 63



# CsSmHgO3 PBE relaxed
data_CsSmHgO3
_cell_length_a 7.655
_cell_length_b 7.655
_cell_length_c 9.211
_cell_angle_alpha 90.00
_cell_angle_beta 90.00
_cell_angle_gamma 151.55
_space_group_name_H-M_alt 'P 1'
_space_group_IT_number 1
_space_group_name_Hall 'P 1'
loop_
_atom_site_label
_atom_site_type_symbol
_atom_site_fract_x
_atom_site_fract_y
_atom_site_fract_z
Cs1 Cs 0.187 0.813 0.750
Cs2 Cs 0.813 0.187 0.250
Sm1 Sm 0.500 0.500 0.000
Sm2 Sm 0.500 0.500 0.500
Hg1 Hg 0.099 0.901 0.250
Hg2 Hg 0.901 0.099 0.750
O1 O 0.101 0.899 0.028
O2 O 0.101 0.899 0.472
O3 O 0.472 0.528 0.250
O4 O 0.528 0.472 0.750
O5 O 0.899 0.101 0.528
O6 O 0.899 0.101 0.972
# **Magnetization**: 0.00 μB per formula unit
# **Energy**: -31.73 eV per formula unit
# **Space group**: No. 63



# CsTbHgO3 PBE relaxed
data_CsTbHgO3
_cell_length_a 7.674
_cell_length_b 7.674
_cell_length_c 9.079
_cell_angle_alpha 90.00
_cell_angle_beta 90.00
_cell_angle_gamma 152.21
_space_group_name_H-M_alt 'P 1'
_space_group_IT_number 1
_space_group_name_Hall 'P 1'
loop_
_atom_site_label
_atom_site_type_symbol
_atom_site_fract_x
_atom_site_fract_y
_atom_site_fract_z
Cs1 Cs 0.187 0.813 0.750
Cs2 Cs 0.813 0.187 0.250
Tb1 Tb 0.500 0.500 0.000
Tb2 Tb 0.500 0.500 0.500
Hg1 Hg 0.099 0.901 0.250
Hg2 Hg 0.901 0.099 0.750
O1 O 0.099 0.901 0.024
O2 O 0.099 0.901 0.476
O3 O 0.474 0.526 0.250
O4 O 0.526 0.474 0.750
O5 O 0.901 0.099 0.524
O6 O 0.901 0.099 0.976
# **Magnetization**: 0.00 μB per formula unit
# **Energy**: -31.87 eV per formula unit
# **Space group**: No. 63



# CsTmHgO3 PBE relaxed
data_CsTmHgO3
_cell_length_a 7.709
_cell_length_b 7.709
_cell_length_c 8.964
_cell_angle_alpha 90.00
_cell_angle_beta 90.00
_cell_angle_gamma 152.98
_space_group_name_H-M_alt 'P 1'
_space_group_IT_number 1
_space_group_name_Hall 'P 1'
loop_
_atom_site_label
_atom_site_type_symbol
_atom_site_fract_x
_atom_site_fract_y
_atom_site_fract_z
Cs1 Cs 0.187 0.813 0.750
Cs2 Cs 0.813 0.187 0.250
Tm1 Tm 0.500 0.500 0.000
Tm2 Tm 0.500 0.500 0.500
Hg1 Hg 0.099 0.901 0.250
Hg2 Hg 0.901 0.099 0.750
O1 O 0.096 0.904 0.021
O2 O 0.096 0.904 0.479
O3 O 0.476 0.524 0.250
O4 O 0.524 0.476 0.750
O5 O 0.904 0.096 0.521
O6 O 0.904 0.096 0.979
# **Magnetization**: 0.00 μB per formula unit
# **Energy**: -31.87 eV per formula unit
# **Space group**: No. 63



# CsHgOs PBE relaxed
data_CsHgOs
_cell_length_a 5.208
_cell_length_b 5.208
_cell_length_c 5.208
_cell_angle_alpha 60.00
_cell_angle_beta 60.00
_cell_angle_gamma 60.00
_space_group_name_H-M_alt 'P 1'
_space_group_IT_number 1
_space_group_name_Hall 'P 1'
loop_
_atom_site_label
_atom_site_type_symbol
_atom_site_fract_x
_atom_site_fract_y
_atom_site_fract_z
Cs1 Cs 0.000 0.000 0.000
Hg1 Hg 0.500 0.500 0.500
Os1 Os 0.250 0.250 0.250
# **Magnetization**: 2.65 μB per formula unit
# **Space group**: No. 216
# **Energy above the most stable polymorph in this dataset**: 0.00 eV per formula unit



# CsHgOs PBE relaxed
data_CsHgOs
_cell_length_a 5.387
_cell_length_b 5.387
_cell_length_c 5.387
_cell_angle_alpha 60.00
_cell_angle_beta 60.00
_cell_angle_gamma 60.00
_space_group_name_H-M_alt 'P 1'
_space_group_IT_number 1
_space_group_name_Hall 'P 1'
loop_
_atom_site_label
_atom_site_type_symbol
_atom_site_fract_x
_atom_site_fract_y
_atom_site_fract_z
Cs1 Cs 0.000 0.000 0.000
Hg1 Hg 0.250 0.250 0.250
Os1 Os 0.500 0.500 0.500
# **Magnetization**: 2.84 μB per formula unit
# **Space group**: No. 216
# **Energy above the most stable polymorph in this dataset**: 0.28 eV per formula unit



# CsHgOs PBE relaxed
data_CsHgOs
_cell_length_a 5.936
_cell_length_b 5.936
_cell_length_c 5.936
_cell_angle_alpha 60.00
_cell_angle_beta 60.00
_cell_angle_gamma 60.00
_space_group_name_H-M_alt 'P 1'
_space_group_IT_number 1
_space_group_name_Hall 'P 1'
loop_
_atom_site_label
_atom_site_type_symbol
_atom_site_fract_x
_atom_site_fract_y
_atom_site_fract_z
Cs1 Cs 0.000 0.000 0.000
Hg1 Hg 0.750 0.750 0.750
Os1 Os 0.250 0.250 0.250
# **Magnetization**: 3.00 μB per formula unit
# **Space group**: No. 216
# **Energy above the most stable polymorph in this dataset**: 0.95 eV per formula unit



# CsHg3OsS4 PBE relaxed
data_CsHg3OsS4
_cell_length_a 7.421
_cell_length_b 7.421
_cell_length_c 7.421
_cell_angle_alpha 90.00
_cell_angle_beta 90.00
_cell_angle_gamma 90.00
_space_group_name_H-M_alt 'P 1'
_space_group_IT_number 1
_space_group_name_Hall 'P 1'
loop_
_atom_site_label
_atom_site_type_symbol
_atom_site_fract_x
_atom_site_fract_y
_atom_site_fract_z
Cs1 Cs 0.000 0.000 0.000
Hg1 Hg 0.000 0.500 0.500
Hg2 Hg 0.500 0.000 0.500
Hg3 Hg 0.500 0.500 0.000
Os1 Os 0.500 0.500 0.500
S1 S 0.331 0.331 0.331
S2 S 0.331 0.669 0.669
S3 S 0.669 0.331 0.669
S4 S 0.669 0.669 0.331
# **Magnetization**: 0.02 μB per formula unit
# **Energy**: -30.92 eV per formula unit
# **Space group**: No. 215



# CsHg3OsSe4 PBE relaxed
data_CsHg3OsSe4
_cell_length_a 7.368
_cell_length_b 7.368
_cell_length_c 7.368
_cell_angle_alpha 90.00
_cell_angle_beta 90.00
_cell_angle_gamma 90.00
_space_group_name_H-M_alt 'P 1'
_space_group_IT_number 1
_space_group_name_Hall 'P 1'
loop_
_atom_site_label
_atom_site_type_symbol
_atom_site_fract_x
_atom_site_fract_y
_atom_site_fract_z
Cs1 Cs 0.000 0.000 0.000
Hg1 Hg 0.000 0.500 0.500
Hg2 Hg 0.500 0.000 0.500
Hg3 Hg 0.500 0.500 0.000
Os1 Os 0.500 0.500 0.500
Se1 Se 0.319 0.319 0.319
Se2 Se 0.319 0.681 0.681
Se3 Se 0.681 0.319 0.681
Se4 Se 0.681 0.681 0.319
# **Magnetization**: 0.01 μB per formula unit
# **Energy**: -28.17 eV per formula unit
# **Space group**: No. 215



# CsHg3Te4Os PBE relaxed
data_CsHg3Te4Os
_cell_length_a 7.656
_cell_length_b 7.656
_cell_length_c 7.656
_cell_angle_alpha 90.00
_cell_angle_beta 90.00
_cell_angle_gamma 90.00
_space_group_name_H-M_alt 'P 1'
_space_group_IT_number 1
_space_group_name_Hall 'P 1'
loop_
_atom_site_label
_atom_site_type_symbol
_atom_site_fract_x
_atom_site_fract_y
_atom_site_fract_z
Cs1 Cs 0.000 0.000 0.000
Hg1 Hg 0.000 0.500 0.500
Hg2 Hg 0.500 0.000 0.500
Hg3 Hg 0.500 0.500 0.000
Te1 Te 0.312 0.312 0.312
Te2 Te 0.312 0.688 0.688
Te3 Te 0.688 0.312 0.688
Te4 Te 0.688 0.688 0.312
Os1 Os 0.500 0.500 0.500
# **Magnetization**: 0.00 μB per formula unit
# **Energy**: -25.81 eV per formula unit
# **Space group**: No. 215



# CsPaHg PBE relaxed
data_CsPaHg
_cell_length_a 5.167
_cell_length_b 5.167
_cell_length_c 5.167
_cell_angle_alpha 60.00
_cell_angle_beta 60.00
_cell_angle_gamma 60.00
_space_group_name_H-M_alt 'P 1'
_space_group_IT_number 1
_space_group_name_Hall 'P 1'
loop_
_atom_site_label
_atom_site_type_symbol
_atom_site_fract_x
_atom_site_fract_y
_atom_site_fract_z
Cs1 Cs 0.000 0.000 0.000
Pa1 Pa 0.250 0.250 0.250
Hg1 Hg 0.750 0.750 0.750
# **Magnetization**: 1.53 μB per formula unit
# **Space group**: No. 216
# **Energy above the most stable polymorph in this dataset**: 1.01 eV per formula unit



# CsPaHg PBE relaxed
data_CsPaHg
_cell_length_a 5.178
_cell_length_b 5.178
_cell_length_c 5.178
_cell_angle_alpha 60.00
_cell_angle_beta 60.00
_cell_angle_gamma 60.00
_space_group_name_H-M_alt 'P 1'
_space_group_IT_number 1
_space_group_name_Hall 'P 1'
loop_
_atom_site_label
_atom_site_type_symbol
_atom_site_fract_x
_atom_site_fract_y
_atom_site_fract_z
Cs1 Cs 0.000 0.000 0.000
Pa1 Pa 0.250 0.250 0.250
Hg1 Hg 0.500 0.500 0.500
# **Magnetization**: 0.00 μB per formula unit
# **Space group**: No. 216
# **Energy above the most stable polymorph in this dataset**: 0.00 eV per formula unit



# CsHgPb PBE relaxed
data_CsHgPb
_cell_length_a 5.983
_cell_length_b 5.983
_cell_length_c 5.983
_cell_angle_alpha 60.00
_cell_angle_beta 60.00
_cell_angle_gamma 60.00
_space_group_name_H-M_alt 'P 1'
_space_group_IT_number 1
_space_group_name_Hall 'P 1'
loop_
_atom_site_label
_atom_site_type_symbol
_atom_site_fract_x
_atom_site_fract_y
_atom_site_fract_z
Cs1 Cs 0.000 0.000 0.000
Hg1 Hg 0.750 0.750 0.750
Pb1 Pb 0.250 0.250 0.250
# **Space group**: No. 216
# **Energy above the most stable polymorph in this dataset**: 1.02 eV per formula unit



# CsHgPb PBE relaxed
data_CsHgPb
_cell_length_a 5.718
_cell_length_b 5.718
_cell_length_c 5.718
_cell_angle_alpha 60.00
_cell_angle_beta 60.00
_cell_angle_gamma 60.00
_space_group_name_H-M_alt 'P 1'
_space_group_IT_number 1
_space_group_name_Hall 'P 1'
loop_
_atom_site_label
_atom_site_type_symbol
_atom_site_fract_x
_atom_site_fract_y
_atom_site_fract_z
Cs1 Cs 0.000 0.000 0.000
Hg1 Hg 0.250 0.250 0.250
Pb1 Pb 0.500 0.500 0.500
# **Space group**: No. 216
# **Energy above the most stable polymorph in this dataset**: 0.00 eV per formula unit